# 1
La2CeTh2 after structural relaxation. Source: the Alexandria database, functional GGA-PBE.

Cell lengths 3.5716, 3.5716, 44.4585 Å; angles 90.00, 90.00, 120.00 degrees
Last column: nearest neighbours and their distance in Å.
Space group R-3m (No. 166, hexagonal axes)
Symmetry-distinct sites (fractional):
La  0.0000  0.0000  0.2049 [6 per cell]  9 La 3.57-3.97, 3 Th 3.57
Ce  0.0000  0.0000  0.0000 [3 per cell]  6 Th 3.47, 6 Ce 3.57
Th  0.0000  0.0000  0.3961 [6 per cell]  3 Ce 3.47, 6 Th 3.57, 3 La 3.57

Summary:
- N(E_F): 24.73 states/eV/cell
- Total magnetic moment: 0.00 μB per cell
- Energy of formation: 0.023 eV/atom

# 2
CdAsPd2 after structural relaxation. Source: the Alexandria database, functional GGA-PBE.

Cell lengths 7.4690, 6.4727, 6.0069 Å; angles 90.00, 90.53, 90.00 degrees
Last column: nearest neighbours and their distance in Å.
Space group P2_1/c (No. 14)
Symmetry-distinct sites (fractional):
Cd  0.1126  0.1144  0.3016 [4 per cell]  6 Pd 2.78-2.99
As  0.3676  0.5519  0.1883 [4 per cell]  6 Pd 2.48-2.61
Pd  0.1756  0.6924  0.4882 [4 per cell]  2 As 2.48-2.49, 1 Cd 2.78
Pd  0.4143  0.1967  0.0125 [4 per cell]  4 As 2.55-2.61, 1 Cd 2.85

Summary:
- N(E_F): 5.71 states/eV/cell
- Total magnetic moment: 0.00 μB per cell
- Energy of formation: -0.360 eV/atom

# 3
Ce3SmN after structural relaxation. Source: the Alexandria database, functional GGA-PBE.

Cell lengths 4.9540, 4.9540, 4.9540 Å; angles 90.00, 90.00, 90.00 degrees
Last column: nearest neighbours and their distance in Å.
Space group Pm-3m (No. 221)
Symmetry-distinct sites (fractional):
Ce  0.0000  0.0000  0.5000 [3 per cell]  2 N 2.48
Sm  0.5000  0.5000  0.5000 [1 per cell]  12 Ce 3.50
N  0.0000  0.0000  0.0000 [1 per cell]  6 Ce 2.48

Summary:
- N(E_F): 9.43 states/eV/cell
- Total magnetic moment: 0.00 μB per cell
- Energy relative to the elements, uncorrected: -0.51 eV/atom

# 4
La4PmDy2Ho after structural relaxation. Source: the Alexandria database, functional GGA-PBE.

Cell lengths 5.2168, 5.2524, 10.0613 Å; angles 90.00, 90.00, 90.00 degrees
Last column: nearest neighbours and their distance in Å.
Space group Pmmm (No. 47)
Symmetry-distinct sites (fractional):
La  0.0000  0.0000  0.2482 [2 per cell]  2 Ho 3.61, 4 Dy 3.62-3.64, 2 Pm 3.65, 4 La 3.70
La  0.5000  0.5000  0.2476 [2 per cell]  4 Dy 3.61-3.65, 2 Ho 3.62, 2 Pm 3.64, 4 La 3.70
Pm  0.0000  0.5000  0.5000 [1 per cell]  8 La 3.64-3.65, 4 Dy 3.70
Dy  0.0000  0.5000  0.0000 [1 per cell]  8 La 3.61-3.62, 4 Ho 3.70
Dy  0.5000  0.0000  0.5000 [1 per cell]  8 La 3.64-3.65, 4 Pm 3.70
Ho  0.5000  0.0000  0.0000 [1 per cell]  8 La 3.61-3.62, 4 Dy 3.70

Summary:
- N(E_F): 10.98 states/eV/cell
- Total magnetic moment: 0.00 μB per cell
- Energy of formation: 0.019 eV/atom

# 5
CaLuIr after structural relaxation. Source: the Alexandria database, functional GGA-PBE.

Cell lengths 6.7362, 6.7362, 6.7362 Å; angles 90.00, 90.00, 90.00 degrees
Last column: nearest neighbours and their distance in Å.
Space group F-43m (No. 216)
Symmetry-distinct sites (fractional):
Ca  0.0000  0.0000  0.0000 [4 per cell]  4 Ir 2.92
Lu  0.0000  0.0000  0.5000 [4 per cell]  4 Ir 2.92
Ir  0.2500  0.2500  0.2500 [4 per cell]  4 Ca 2.92, 4 Lu 2.92

Summary:
- N(E_F): 1.24 states/eV/cell
- Total magnetic moment: 0.00 μB per cell
- Energy of formation: -0.534 eV/atom
- Excess energy over the best structure of this formula in the dataset: 0 meV/atom

# 6
Ca2OsPt after structural relaxation. Source: the Alexandria database, functional GGA-PBE.

Cell lengths 4.1910, 4.1910, 9.2449 Å; angles 90.00, 90.00, 90.00 degrees
Last column: nearest neighbours and their distance in Å.
Space group I-4m2 (No. 119)
Symmetry-distinct sites (fractional):
Ca  0.0000  0.0000  0.0000 [2 per cell]  4 Pt 2.96, 4 Ca 3.12, 4 Os 3.12
Ca  0.0000  0.5000  0.2500 [2 per cell]  4 Os 2.96, 4 Ca 3.12, 4 Pt 3.12
Os  0.0000  0.5000  0.7500 [2 per cell]  8 Ca 2.96-3.12, 4 Pt 3.12
Pt  0.0000  0.0000  0.5000 [2 per cell]  8 Ca 2.96-3.12, 4 Os 3.12

Summary:
- N(E_F): 9.26 states/eV/cell
- Total magnetic moment: 0.75 μB per cell
- Energy of formation: 0.203 eV/atom
- Excess energy over the best structure of this formula in the dataset: 275 meV/atom

# 7
YCrAg after structural relaxation. Source: the Alexandria database, functional GGA-PBE.

Cell lengths 6.7039, 6.7039, 6.7039 Å; angles 90.00, 90.00, 90.00 degrees
Last column: nearest neighbours and their distance in Å.
Space group F-43m (No. 216)
Symmetry-distinct sites (fractional):
Y  0.0000  0.0000  0.0000 [4 per cell]  4 Ag 2.90
Cr  0.0000  0.0000  0.5000 [4 per cell]  4 Ag 2.90
Ag  0.2500  0.2500  0.2500 [4 per cell]  4 Cr 2.90, 4 Y 2.90

Summary:
- N(E_F): 11.75 states/eV/cell
- Total magnetic moment: 16.43 μB per cell
- Energy of formation: 0.437 eV/atom
- Excess energy over the best structure of this formula in the dataset: 206 meV/atom

# 8
LiIrCl2 after structural relaxation. Source: the Alexandria database, functional GGA-PBE.

Cell lengths 3.6205, 7.7715, 6.3896 Å; angles 90.00, 90.00, 90.00 degrees
Last column: nearest neighbours and their distance in Å.
Space group Cmmm (No. 65)
Symmetry-distinct sites (fractional):
Li  0.0000  0.0000  0.0000 [2 per cell]  4 Cl 2.47
Ir  0.0000  0.0000  0.5000 [2 per cell]  4 Cl 2.36
Cl  0.0000  0.5000  0.2633 [4 per cell]  2 Ir 2.36, 2 Li 2.47

Summary:
- N(E_F): 4.47 states/eV/cell
- Total magnetic moment: 0.00 μB per cell
- Excess energy over the best structure of this formula in the dataset: 342 meV/atom
- Energy relative to the elements, uncorrected: -0.14 eV/atom

# 9
Tb12Dy2Ho5 after structural relaxation. Source: the Alexandria database, functional GGA-PBE.

Cell lengths 8.3037, 8.7747, 9.8412 Å; angles 73.70, 78.68, 61.77 degrees
Last column: nearest neighbours and their distance in Å.
Space group P-1 (No. 2)
Symmetry-distinct sites (fractional):
Tb  0.0552  0.2251  0.1835 [2 per cell]  4 Ho 3.48-3.65, 6 Tb 3.49-3.71, 2 Dy 3.52-3.76
Tb  0.1391  0.3030  0.8002 [2 per cell]  6 Tb 3.38-3.70, 3 Ho 3.43-3.64, 1 Dy 3.61
Tb  0.2300  0.4001  0.3931 [2 per cell]  2 Dy 3.40-3.58, 6 Tb 3.43-3.71, 2 Ho 3.50-3.67
Tb  0.2374  0.7879  0.1480 [2 per cell]  1 Dy 3.20, 3 Ho 3.36-3.55, 3 Tb 3.43-3.49
Tb  0.3295  0.8542  0.7871 [2 per cell]  5 Tb 3.29-3.67, 4 Ho 3.43-3.64, 1 Dy 3.45
Tb  0.3736  0.5407  0.6413 [2 per cell]  5 Tb 3.17-3.54, 1 Ho 3.44, 1 Dy 3.48
Dy  0.0000  0.1553  0.5559 [2 per cell]  6 Tb 3.20-3.58, 1 Dy 3.21, 1 Ho 3.47
Ho  0.3171  0.4492  0.0066 [2 per cell]  9 Tb 3.36-3.67, 2 Ho 3.51-3.52
Ho  0.4165  0.9090  0.3883 [2 per cell]  2 Dy 3.47-3.68, 9 Tb 3.48-3.84, 2 Ho 3.67-3.82
Ho  0.5000  0.0000  0.0000 [1 per cell]  8 Tb 3.38-3.65, 4 Ho 3.51-3.67

Summary:
- N(E_F): 31.23 states/eV/cell
- Total magnetic moment: 0.00 μB per cell
- Energy of formation: 0.068 eV/atom
- Excess energy over the best structure of this formula in the dataset: 0 meV/atom

# 10
KLiRe2 after structural relaxation. Source: the Alexandria database, functional GGA-PBE.

Cell lengths 5.1560, 10.9811, 2.5875 Å; angles 90.00, 90.00, 90.00 degrees
Last column: nearest neighbours and their distance in Å.
Space group Cmmm (No. 65)
Symmetry-distinct sites (fractional):
K  0.0000  0.0000  0.0000 [2 per cell]  2 Li 2.58, 2 K 2.59
Li  0.0000  0.5000  0.0000 [2 per cell]  2 K 2.58, 2 Li 2.59
Re  0.2500  0.2500  0.5000 [4 per cell]  4 Re 2.58-2.59

Summary:
- N(E_F): 5.86 states/eV/cell
- Total magnetic moment: 0.00 μB per cell
- Energy of formation: 1.069 eV/atom
- Excess energy over the best structure of this formula in the dataset: 452 meV/atom

# 11
CsK2WSe4 after structural relaxation. Source: the Alexandria database, functional GGA-PBE.

Cell lengths 8.7891, 8.7891, 8.3042 Å; angles 90.00, 90.00, 90.00 degrees
Last column: nearest neighbours and their distance in Å.
Space group I-4 (No. 82)
Symmetry-distinct sites (fractional):
Cs  0.0000  0.0000  0.0000 [2 per cell]  4 Se 3.56
K  0.0000  0.0000  0.5000 [2 per cell]  4 Se 3.23
K  0.0000  0.5000  0.2500 [2 per cell]  4 Se 3.42
W  0.0000  0.5000  0.7500 [2 per cell]  4 Se 2.39
Se  0.1430  0.6718  0.5869 [8 per cell]  1 W 2.39

Summary:
- N(E_F): 9.37 states/eV/cell
- Total magnetic moment: 2.04 μB per cell
- Energy relative to the elements, uncorrected: -0.80 eV/atom

# 12
Li2PaH6 after structural relaxation. Source: the Alexandria database, functional GGA-PBE.

Cell lengths 12.1196, 3.7971, 3.7966 Å; angles 90.00, 108.23, 90.00 degrees
Last column: nearest neighbours and their distance in Å.
Space group C2/m (No. 12)
Symmetry-distinct sites (fractional):
Li  0.2500  0.0000  0.2502 [4 per cell]  6 H 1.83-2.00
Pa  0.0000  0.0000  0.5000 [2 per cell]  10 H 2.17-2.26
H  0.0907  0.0000  0.0905 [4 per cell]  1 Li 1.83
H  0.0906  0.5000  0.5941 [4 per cell]  1 Li 1.83
H  0.1959  0.0000  0.6954 [4 per cell]  4 Li 2.00

Summary:
- N(E_F): 5.94 states/eV/cell
- Total magnetic moment: 0.69 μB per cell
- Excess energy over the best structure of this formula in the dataset: 0 meV/atom